First-principles (PBE) data for crystalline TmPu2Pt at its relaxed geometry, as listed in the Alexandria database.

Structure (extended XYZ):
```
4
Lattice="-1.0762 0.6984 -3.4361 0.9854 -2.2504 -2.7235 -7.8651 -5.6541 -0.6434" Properties=species:S:1:pos:R:3 pbc="T T T"
Tm -3.9780 -3.6031 -3.4015
Pu -1.6130 -1.5550 -1.7684
Pu -6.3429 -5.6511 -5.0346
Pt 0.0000 0.0000 0.0000
```

Results
The volume comes out at 27.59 Å³ per atom. The density of states at the Fermi level is 18.45 states/eV/cell. The formation energy comes out at -0.61 eV per formula unit. For the total energy, the calculation gives -9.9465 eV/atom.

=====

First-principles (PBE) data for crystalline LiAc8Ge5 at its relaxed geometry, as listed in the Alexandria database.

Structure (extended XYZ):
```
14
Lattice="8.4831 0.0105 -0.0180 -2.8605 7.9862 0.0180 -2.7621 -4.0329 6.9332" Properties=species:S:1:pos:R:3 pbc="T T T"
Ac 1.7151 3.8950 1.7773
Ac -1.1688 6.0004 0.1344
Ac -2.5376 4.0488 3.5240
Ac 0.4194 3.6101 6.0759
Ac 5.9772 -2.1326 5.1315
Ac 1.9066 -0.4665 6.0760
Ac 0.4932 0.4496 2.5246
Ac 4.6369 0.4502 2.4891
Ge -1.3947 2.4877 0.9101
Ge 2.8722 2.4485 4.3513
Ge 0.0508 -3.0091 6.8924
Ge 4.1927 6.0004 1.7125
Ge 2.8605 -2.0112 3.4576
Li -1.3810 0.9710 5.2044
```

Results
The volume comes out at 33.57 Å³ per atom. The density of states at the Fermi level is 10.85 states/eV/cell. The formation energy comes out at -7.40 eV per formula unit. For the total energy, the calculation gives -4.6621 eV/atom.

=====

First-principles (PBE) data for crystalline LaPtRh2 at its relaxed geometry, as listed in the Alexandria database.

Structure (extended XYZ):
```
4
Lattice="-2.3419 -2.5038 -1.0119 0.0598 -1.3872 3.2939 -4.5084 3.5753 1.5876" Properties=species:S:1:pos:R:3 pbc="T T T"
Rh -2.0844 -1.1974 1.4732
Rh -0.1035 0.0821 0.0365
Pt -4.6101 0.8056 2.3626
La -2.2466 1.7816 0.7911
```

Results
The volume comes out at 19.07 Å³ per atom. The density of states at the Fermi level is 6.49 states/eV/cell. The formation energy comes out at -1.14 eV per formula unit. For the total energy, the calculation gives -6.7031 eV/atom.

=====

First-principles (PBE) data for crystalline ReS2 at its relaxed geometry, as listed in the Alexandria database.

Structure (extended XYZ):
```
12
Lattice="3.9392 0.0000 1.1677 1.9696 4.6144 0.5839 -0.9795 0.0000 10.5325" Properties=species:S:1:pos:R:3 pbc="T T T"
S 4.0336 2.3072 4.4636
S 3.3551 0.0000 3.1381
S 1.9696 1.3166 0.5839
S 2.8654 2.3072 8.4044
S 1.4799 0.9906 5.8501
S 1.4799 3.6238 5.8501
S -0.3954 0.0000 8.5621
S 3.9393 3.2978 1.1677
Re 0.5258 2.3072 9.0687
Re 1.9442 0.0000 7.8978
Re 2.4340 2.3072 2.6316
Re 2.9851 4.6144 4.3863
```

Results
The volume comes out at 16.39 Å³ per atom. The density of states at the Fermi level is 8.71 states/eV/cell. As for the uncorrected formation energy: 0.13 eV per atom. For the total energy, the calculation gives -6.7704 eV/atom.

=====

First-principles (PBE) data for crystalline In2NiAs at its relaxed geometry, as listed in the Alexandria database.

Structure (extended XYZ):
```
4
Lattice="-5.1419 3.8726 4.8420 -6.5027 0.6941 4.7025 -3.9191 1.3750 6.9015" Properties=species:S:1:pos:R:3 pbc="T T T"
As -11.6728 4.4563 12.3345
Ni -3.8909 1.4854 4.1115
In -7.9071 3.0187 8.3554
In -15.4384 5.8939 16.3137
```

Results
The volume comes out at 20.23 Å³ per atom. The density of states at the Fermi level is 1.91 states/eV/cell. The formation energy comes out at 0.59 eV per formula unit. For the total energy, the calculation gives -3.8301 eV/atom.

=====

First-principles (PBE) data for crystalline Th2Zn3Cu12Ag at its relaxed geometry, as listed in the Alexandria database.

Structure (extended XYZ):
```
18
Lattice="9.3682 1.7897 1.2694 6.1827 7.2622 1.2694 6.1827 3.5989 6.4343" Properties=species:S:1:pos:R:3 pbc="T T T"
Cu 15.0272 10.3302 7.3271
Cu 9.1061 6.6926 4.7470
Cu 5.3298 3.1024 3.8780
Cu 11.4171 8.0378 4.2261
Cu 16.4038 7.9652 7.3271
Cu 10.3166 6.0051 2.7843
Cu 12.6276 5.9582 4.2261
Cu 5.3298 4.6856 1.6459
Cu 11.4171 6.6457 6.1888
Cu 10.3166 4.6130 4.7470
Cu 6.7065 2.3205 1.6459
Cu 16.4038 9.5484 5.0951
Zn 3.0914 1.7994 3.2171
Zn 4.6841 0.8948 0.6347
Zn 3.0914 3.6311 0.6347
Th 7.7818 4.5297 3.2128
Th 13.9518 8.1211 5.7602
Ag 0.0000 0.0000 0.0000
```

Results
The volume comes out at 17.17 Å³ per atom. The density of states at the Fermi level is 4.91 states/eV/cell. The formation energy comes out at 2.70 eV per formula unit. For the total energy, the calculation gives -3.7761 eV/atom.